1.
## KNbCl3 (PBE)

Data for a relaxed KNbCl3 crystal.

```
data_KNbCl3
_cell_length_a 5.419
_cell_length_b 5.419
_cell_length_c 5.419
_cell_angle_alpha 90.00
_cell_angle_beta 90.00
_cell_angle_gamma 90.00
_symmetry_space_group_name_H-M 'P m -3 m'
_symmetry_Int_Tables_number 221
_symmetry_space_group_name_Hall '-P 4 2 3'
loop_
_atom_site_label
_atom_site_fract_x
_atom_site_fract_y
_atom_site_fract_z
K1 0.000 0.000 0.000
Nb1 0.500 0.500 0.500
Cl1 0.000 0.000 0.500
```

Computed properties:
theoretical density	2487	kg/m3
DFT total energy	-15.96	eV/f.u.

2.
## KNbCl3 (PBE)

Data for a relaxed KNbCl3 crystal.

```
data_KNbCl3
_cell_length_a 6.867
_cell_length_b 13.098
_cell_length_c 6.208
_cell_angle_alpha 90.00
_cell_angle_beta 90.00
_cell_angle_gamma 90.00
_symmetry_space_group_name_H-M 'P n m a'
_symmetry_Int_Tables_number 62
loop_
_symmetry_equiv_pos_as_xyz
'x,y,z'
'-x,-y,-z'
'-x+1/2,-y,z+1/2'
'x+1/2,y,-z+1/2'
'x+1/2,-y+1/2,-z+1/2'
'-x+1/2,y+1/2,z+1/2'
'-x,y+1/2,-z'
'x,-y+1/2,z'
loop_
_atom_site_label
_atom_site_fract_x
_atom_site_fract_y
_atom_site_fract_z
K1 0.000 0.000 0.000
Nb1 0.091 0.250 0.469
Cl1 0.082 0.750 0.165
Cl2 0.178 0.631 0.668
```

Computed properties:
theoretical density	2835	kg/m3
DFT total energy	-21.77	eV/f.u.

3.
## KNbCl3 (PBE)

Data for a relaxed KNbCl3 crystal.

```
data_KNbCl3
_cell_length_a 4.750
_cell_length_b 4.750
_cell_length_c 6.908
_cell_angle_alpha 90.00
_cell_angle_beta 90.00
_cell_angle_gamma 90.00
_symmetry_space_group_name_H-M 'P 4 m m'
_symmetry_Int_Tables_number 99
loop_
_symmetry_equiv_pos_as_xyz
'x,y,z'
'-y,x,z'
'-x,-y,z'
'y,-x,z'
'-x,y,z'
'y,x,z'
'x,-y,z'
'-y,-x,z'
loop_
_atom_site_label
_atom_site_fract_x
_atom_site_fract_y
_atom_site_fract_z
K1 0.000 0.000 0.000
Nb1 0.500 0.500 0.396
Cl1 0.000 0.000 0.598
Cl2 0.000 0.500 0.257
```

Computed properties:
theoretical density	2539	kg/m3
DFT total energy	-20.43	eV/f.u.

4.
## KNbCl3 (PBE)

Data for a relaxed KNbCl3 crystal.

```
data_KNbCl3
_cell_length_a 7.8644
_cell_length_b 7.8644
_cell_length_c 18.0682
_cell_angle_alpha 90.00
_cell_angle_beta 90.00
_cell_angle_gamma 120.00
_symmetry_space_group_name_H-M 'R -3 c'
_symmetry_Int_Tables_number 167
_symmetry_space_group_name_Hall '-R 3 2"c'
loop_
_atom_site_label
_atom_site_fract_x
_atom_site_fract_y
_atom_site_fract_z
K1 0.0000 0.0000 0.0000
Nb1 0.0000 0.0000 0.2500
Cl1 0.0000 0.3059 0.2500
```

Computed properties:
theoretical density	2454	kg/m3
DFT total energy	-21.46	eV/f.u.